Crystalline PmTc at its relaxed geometry, computed with PBE.

Unit cell a=4.963 b=4.963 c=4.746 alpha=90.00 beta=90.00 gamma=120.00
Fractional coordinates of all 4 atoms:
Tc1 0.000 0.000 0.000
Tc2 0.000 0.000 0.500
Pm1 0.667 0.333 0.750
Pm2 0.333 0.667 0.250

Results
- V: 101 Å³/cell
- Energy relative to the elements: 0.188 eV per atom
- E above lowest polymorph: 0.0 kJ per mole of atoms